(1)
DFT (GGA-PBE) results for an optimized crystal structure of ErGa2Pt4.

Cell: 16.2167 4.2104 7.1889 Å, 90.00 90.00 90.00°
Last column: nearest neighbours and their distance in Å.
Space group Pnma (No. 62)
Asymmetric unit:
Er (0.1479, 0.2500, 0.0652) [4 per cell]  10 Pt 2.90-3.17, 2 Ga 3.22
Ga (0.0220, 0.7500, 0.2493) [4 per cell]  7 Pt 2.54-2.65
Ga (0.1922, 0.2500, 0.6218) [4 per cell]  6 Pt 2.57-2.70
Pt (0.0451, 0.7500, 0.8997) [4 per cell]  3 Ga 2.54-2.60, 1 Pt 2.80
Pt (0.0553, 0.2500, 0.4428) [4 per cell]  4 Ga 2.54-2.58
Pt (0.1732, 0.7500, 0.3905) [4 per cell]  4 Ga 2.65-2.91, 4 Pt 2.83-2.87
Pt (0.2139, 0.7500, 0.8205) [4 per cell]  3 Ga 2.57-2.65, 3 Pt 2.80-2.83

formation energy = -0.840 eV/atom
N(E_F) = 11.777 states/eV per cell
ΔE to the lowest computed polymorph = 0.0 meV/atom
calculated volume = 17.53 Å³/atom
VASP energy = -162.63 eV for the cell shown

***

(2)
DFT (GGA-PBE) results for an optimized crystal structure of Tb4ZnGa2.

Cell: 5.0091 5.0091 25.7250 Å, 90.00 90.00 120.00°
Last column: nearest neighbours and their distance in Å.
Space group R-3m (No. 166, hexagonal axes)
Asymmetric unit:
Tb (0.0000, 0.0000, 0.1248) [6 per cell]  3 Zn 3.09, 3 Ga 3.19
Tb (0.0000, 0.0000, 0.2904) [6 per cell]  4 Ga 2.96-2.99
Zn (0.0000, 0.0000, 0.5000) [3 per cell]  2 Ga 2.43
Ga (0.0000, 0.0000, 0.4054) [6 per cell]  1 Zn 2.43

formation energy = -0.287 eV/atom
N(E_F) = 20.461 states/eV per cell
ΔE to the lowest computed polymorph = 102.4 meV/atom
calculated volume = 26.62 Å³/atom
VASP energy = -83.57 eV for the cell shown

***

(3)
DFT (GGA-PBE) results for an optimized crystal structure of Er2PaO6.

Cell: 3.8271 5.3626 11.3345 Å, 90.00 90.00 90.00°
Last column: nearest neighbours and their distance in Å.
Space group Immm (No. 71)
Asymmetric unit:
Er (0.0000, 0.0000, 0.1680) [4 per cell]  8 O 2.33-2.36
Pa (0.0000, 0.0000, 0.5000) [2 per cell]  8 O 2.26-2.31
O (0.0000, 0.2459, 0.3377) [8 per cell]  1 Pa 2.26, 3 Er 2.33-2.35
O (0.0000, 0.2586, 0.0000) [4 per cell]  2 Pa 2.31, 2 Er 2.36

N(E_F) = 18.107 states/eV per cell
ΔE to the lowest computed polymorph = 0.0 meV/atom
calculated volume = 12.92 Å³/atom
E_form (uncorrected) = -3.4132 eV/atom
VASP energy = -158.18 eV for the cell shown

***

(4)
DFT (GGA-PBE) results for an optimized crystal structure of HgPPt4.

Cell: 7.5279 7.5279 7.5279 Å, 90.00 90.00 90.00°
Last column: nearest neighbours and their distance in Å.
Space group F-43m (No. 216)
Asymmetric unit:
Hg (0.0000, 0.0000, 0.0000) [4 per cell]  12 Pt 3.12, 4 P 3.26
P (0.2500, 0.2500, 0.7500) [4 per cell]  12 Pt 3.12, 4 Hg 3.26
Pt (0.1247, 0.1247, 0.3753) [16 per cell]  6 Pt 2.65-2.67

formation energy = 0.360 eV/atom
N(E_F) = 35.271 states/eV per cell
ΔE to the lowest computed polymorph = 513.9 meV/atom
calculated volume = 17.78 Å³/atom
VASP energy = -110.86 eV for the cell shown

***

(5)
DFT (GGA-PBE) results for an optimized crystal structure of Na5Pa3Te8.

Cell: 8.9067 8.9067 22.7237 Å, 90.00 90.00 120.00°
Last column: nearest neighbours and their distance in Å.
Space group R-3m (No. 166, hexagonal axes)
Asymmetric unit:
Na (0.0000, 0.0000, 0.0000) [3 per cell]  6 Te 3.21
Na (0.0000, 0.0000, 0.5000) [3 per cell]  6 Te 3.18
Na (0.0000, 0.5000, 0.0000) [9 per cell]  6 Te 3.25-3.29
Pa (0.0000, 0.5000, 0.5000) [9 per cell]  6 Te 3.10-3.14
Te (0.0000, 0.0000, 0.2456) [6 per cell]  3 Pa 3.14, 3 Na 3.25
Te (0.0092, 0.5046, 0.7551) [18 per cell]  2 Pa 3.10, 4 Na 3.18-3.29

N(E_F) = 53.497 states/eV per cell
calculated volume = 32.52 Å³/atom
E_form (uncorrected) = -0.9040 eV/atom
VASP energy = -224.04 eV for the cell shown

***

(6)
DFT (GGA-PBE) results for an optimized crystal structure of MgSn2GePb.

Cell: 5.3669 5.3669 5.4478 Å, 90.00 90.00 90.00°
Last column: nearest neighbours and their distance in Å.
Space group P4/mmm (No. 123)
Asymmetric unit:
Mg (0.0000, 0.0000, 0.0000) [1 per cell]  4 Sn 2.68, 2 Pb 2.72
Sn (0.0000, 0.5000, 0.0000) [2 per cell]  2 Mg 2.68
Ge (0.5000, 0.5000, 0.5000) [1 per cell]  4 Pb 3.79, 8 Sn 3.82
Pb (0.0000, 0.0000, 0.5000) [1 per cell]  2 Mg 2.72

formation energy = 0.603 eV/atom
N(E_F) = 3.168 states/eV per cell
calculated volume = 31.38 Å³/atom
VASP energy = -14.91 eV for the cell shown